CoCuIN2, optimized geometry, DFT GGA-PBEsol; space-group type = P4/mmm, No. 123; N(E_F) = 4.3 states/eV/cell; VASP energy = -4.494 eV/atom
1.0
-1.026 3.306 1.129
-1.963 -1.519 2.664
4.889 0.240 3.740
Cu N Co I
1 2 1 1
direct
0.000 0.000 0.000
0.000 0.500 0.000
0.500 0.000 0.000
0.500 0.500 0.500
0.000 0.000 0.500